Record 1
TcAsOs2: relaxed, PBE.

Summary:
* space-group type: P4/mmm (123)
* spin magnetization: 1.8 μB/f.u.
* formation enthalpy at 0 K: 0.6356 eV per atom
* theoretical density: 15.50 Mg/m³

Unit cell a=3.9044 b=3.8965 c=3.8965 alpha=90.00 beta=90.00 gamma=90.00
With the nearest neighbours (Å) after each atom.
Atoms (fractional coordinates):
1 Tc 0.5000 0.5000 0.0000  4 As 2.76, 8 Os 2.76
2 Os 0.0000 0.5000 0.5000  4 Os 2.76, 4 As 2.76, 4 Tc 2.76
3 As 0.5000 0.0000 0.5000  4 Tc 2.76, 8 Os 2.76
4 Os 0.0000 0.0000 0.0000  4 Os 2.76, 4 As 2.76, 4 Tc 2.76

---

Record 2
TcAsOs: relaxed, PBE.

Summary:
* space-group type: Pm (6)
* spin magnetization: 0.0 μB/f.u.
* formation enthalpy at 0 K: 0.0818 eV per atom
* theoretical density: 13.27 Mg/m³

Unit cell a=4.5564 b=2.9106 c=6.8896 alpha=90.00 beta=96.01 gamma=90.00
With the nearest neighbours (Å) after each atom.
Atoms (fractional coordinates):
1 As 0.6212 0.0000 0.5310  1 Os 2.43, 4 Tc 2.54-2.71
2 As 0.1489 0.5000 0.6883  2 Os 2.52, 3 Tc 2.57-2.61
3 Os 0.2098 0.0000 0.9878  2 As 2.52, 2 Os 2.68-2.70, 4 Tc 2.72-2.79
4 Os 0.7455 0.0000 0.1969  1 As 2.43, 2 Os 2.68-2.70, 2 Tc 2.70
5 Tc 0.6803 0.5000 0.8654  4 As 2.57-2.71, 6 Os 2.70-2.87
6 Tc 0.2562 0.5000 0.3233  3 As 2.54-2.61, 4 Os 2.72-2.80

---

Record 3
TcAsOs2: relaxed, PBE.

Summary:
* space-group type: Cmmm (65)
* spin magnetization: 0.0 μB/f.u.
* formation enthalpy at 0 K: 0.6545 eV per atom
* theoretical density: 14.84 Mg/m³

Unit cell a=2.7364 b=2.7364 c=9.4465 alpha=90.00 beta=90.00 gamma=118.89
With the nearest neighbours (Å) after each atom.
Atoms (fractional coordinates):
1 Os 0.0000 0.0000 0.4873  2 Tc 2.64, 6 Os 2.74-2.78, 2 As 2.85
2 Os 0.0000 0.0000 0.0127  2 Tc 2.64, 6 Os 2.74-2.78, 2 As 2.85
3 Tc 0.5000 0.5000 0.2500  4 Os 2.64, 6 Tc 2.74-2.78
4 As 0.5000 0.5000 0.7500  6 As 2.74-2.78, 4 Os 2.85

---

Record 4
TcAs4Os: relaxed, PBE.

Summary:
* space-group type: F-43m (216)
* spin magnetization: 2.1 μB/f.u.
* formation enthalpy at 0 K: 1.1912 eV per atom
* theoretical density: 9.38 Mg/m³

Unit cell a=5.2805 b=5.2805 c=5.2805 alpha=60.00 beta=60.00 gamma=60.00
With the nearest neighbours (Å) after each atom.
Atoms (fractional coordinates):
1 As 0.3750 0.3750 0.3750  6 As 2.64
2 Os 0.7500 0.7500 0.7500  12 As 3.10, 4 Tc 3.23
3 As 0.8751 0.3750 0.3750  6 As 2.64
4 Tc 0.0000 0.0000 0.0000  12 As 3.10, 4 Os 3.23
5 As 0.3750 0.3750 0.8751  6 As 2.64
6 As 0.3750 0.8751 0.3750  6 As 2.64